(1)
# Nd3TaSe2O4F2 (PBE, optimized geometry)
# - Calculated volume: 16.20 A^3/atom
# - Space-group type: Pnma, No. 62
data_Nd3TaSe2O4F2
_chemical_formula_sum 'Nd12 Ta4 Se8 O16 F8'
_space_group_name_H-M_alt 'P 1'
_space_group_IT_number 1
_cell_length_a 11.1568
_cell_length_b 3.9297
_cell_length_c 17.7365
_cell_angle_alpha 90.00
_cell_angle_beta 90.00
_cell_angle_gamma 90.00
loop_
_space_group_symop_operation_xyz
'x,y,z'
loop_
_atom_site_label
_atom_site_type_symbol
_atom_site_fract_x
_atom_site_fract_y
_atom_site_fract_z
Nd1 Nd 0.0055 0.2500 0.1066
Nd2 Nd 0.0629 0.2500 0.6985
Nd3 Nd 0.2082 0.7500 0.4702
Nd4 Nd 0.2918 0.2500 0.9702
Nd5 Nd 0.4371 0.7500 0.1985
Nd6 Nd 0.4945 0.7500 0.6066
Nd7 Nd 0.5055 0.2500 0.3934
Nd8 Nd 0.5629 0.2500 0.8015
Nd9 Nd 0.7082 0.7500 0.0298
Nd10 Nd 0.7918 0.2500 0.5298
Nd11 Nd 0.9371 0.7500 0.3015
Nd12 Nd 0.9945 0.7500 0.8934
Ta1 Ta 0.1956 0.2500 0.3050
Ta2 Ta 0.3044 0.7500 0.8050
Ta3 Ta 0.6956 0.2500 0.1950
Ta4 Ta 0.8044 0.7500 0.6950
Se1 Se 0.0084 0.2500 0.4219
Se2 Se 0.2180 0.7500 0.0937
Se3 Se 0.2820 0.2500 0.5937
Se4 Se 0.4916 0.7500 0.9219
Se5 Se 0.5084 0.2500 0.0781
Se6 Se 0.7180 0.7500 0.4063
Se7 Se 0.7820 0.2500 0.9063
Se8 Se 0.9916 0.7500 0.5781
O1 O 0.0543 0.2500 0.2428
O2 O 0.1721 0.7500 0.3218
O3 O 0.1817 0.7500 0.7361
O4 O 0.2132 0.7500 0.9027
O5 O 0.2868 0.2500 0.4027
O6 O 0.3183 0.2500 0.2361
O7 O 0.3279 0.2500 0.8218
O8 O 0.4457 0.7500 0.7428
O9 O 0.5543 0.2500 0.2572
O10 O 0.6721 0.7500 0.1782
O11 O 0.6817 0.7500 0.7639
O12 O 0.7132 0.7500 0.5973
O13 O 0.7868 0.2500 0.0973
O14 O 0.8183 0.2500 0.2639
O15 O 0.8279 0.2500 0.6782
O16 O 0.9457 0.7500 0.7572
F1 F 0.0617 0.2500 0.8315
F2 F 0.0682 0.2500 0.9744
F3 F 0.4318 0.7500 0.4744
F4 F 0.4383 0.7500 0.3315
F5 F 0.5617 0.2500 0.6685
F6 F 0.5682 0.2500 0.5256
F7 F 0.9318 0.7500 0.0256
F8 F 0.9383 0.7500 0.1685



(2)
# Cu37Ag3 (PBE, optimized geometry)
# - Calculated volume: 12.09 A^3/atom
# - Space-group type: P1, No. 1
data_Cu37Ag3
_chemical_formula_sum 'Cu37 Ag3'
_space_group_name_H-M_alt 'P 1'
_space_group_IT_number 1
_cell_length_a 5.7574
_cell_length_b 9.2844
_cell_length_c 9.9839
_cell_angle_alpha 90.04
_cell_angle_beta 106.75
_cell_angle_gamma 108.04
loop_
_space_group_symop_operation_xyz
'x,y,z'
loop_
_atom_site_label
_atom_site_type_symbol
_atom_site_fract_x
_atom_site_fract_y
_atom_site_fract_z
Cu1 Cu 0.0000 0.0000 0.0000
Cu2 Cu 0.0012 0.4967 0.5050
Cu3 Cu 0.0502 0.1261 0.7761
Cu4 Cu 0.0707 0.6283 0.2812
Cu5 Cu 0.1057 0.2528 0.5569
Cu6 Cu 0.1143 0.7557 0.0496
Cu7 Cu 0.1491 0.8765 0.8233
Cu8 Cu 0.1554 0.3736 0.3354
Cu9 Cu 0.2006 0.5012 0.1013
Cu10 Cu 0.2108 0.0086 0.6067
Cu11 Cu 0.2454 0.6280 0.8721
Cu12 Cu 0.2557 0.1285 0.3821
Cu13 Cu 0.2858 0.2488 0.1528
Cu14 Cu 0.3088 0.7536 0.6564
Cu15 Cu 0.3383 0.3735 0.9215
Cu16 Cu 0.3668 0.8842 0.4305
Cu17 Cu 0.4016 0.5027 0.7050
Cu18 Cu 0.4059 0.0087 0.2020
Cu19 Cu 0.4388 0.1222 0.9716
Cu20 Cu 0.4442 0.6268 0.4828
Cu21 Cu 0.4965 0.7616 0.2529
Cu22 Cu 0.5035 0.2537 0.7550
Cu23 Cu 0.5505 0.8852 0.0239
Cu24 Cu 0.5522 0.3781 0.5330
Cu25 Cu 0.5874 0.4967 0.3088
Cu26 Cu 0.6009 0.0031 0.8020
Cu27 Cu 0.6547 0.1302 0.5816
Cu28 Cu 0.6986 0.2505 0.3607
Cu29 Cu 0.7049 0.7557 0.8478
Cu30 Cu 0.7513 0.8824 0.6303
Cu31 Cu 0.8054 0.5014 0.8966
Cu32 Cu 0.8064 0.0109 0.4047
Cu33 Cu 0.8486 0.6254 0.6796
Cu34 Cu 0.8528 0.1207 0.1795
Cu35 Cu 0.9006 0.2466 0.9477
Cu36 Cu 0.9511 0.3764 0.7266
Cu37 Cu 0.9695 0.8871 0.2276
Ag1 Ag 0.6551 0.6350 0.0784
Ag2 Ag 0.7483 0.3695 0.1292
Ag3 Ag 0.9031 0.7538 0.4520



(3)
# GdGaAu2 (PBE, optimized geometry)
# - Calculated volume: 21.06 A^3/atom
# - Space-group type: Pmn2_1, No. 31
data_GdGaAu2
_chemical_formula_sum 'Gd2 Ga2 Au4'
_space_group_name_H-M_alt 'P 1'
_space_group_IT_number 1
_cell_length_a 4.4747
_cell_length_b 6.3730
_cell_length_c 5.9078
_cell_angle_alpha 90.00
_cell_angle_beta 90.00
_cell_angle_gamma 90.00
loop_
_space_group_symop_operation_xyz
'x,y,z'
loop_
_atom_site_label
_atom_site_type_symbol
_atom_site_fract_x
_atom_site_fract_y
_atom_site_fract_z
Gd1 Gd 0.0000 0.0844 0.0000
Gd2 Gd 0.5000 0.9156 0.5000
Ga1 Ga 0.0000 0.6109 0.2459
Ga2 Ga 0.5000 0.3891 0.7459
Au1 Au 0.0000 0.2375 0.5157
Au2 Au 0.0000 0.6608 0.7179
Au3 Au 0.5000 0.3392 0.2179
Au4 Au 0.5000 0.7625 0.0157



(4)
# CsAgPtSe3 (PBE, optimized geometry)
# - Distance to the lowest polymorph of the same formula: 0.0 meV/atom
# - Calculated volume: 28.01 A^3/atom
# - Space-group type: P2_1/m, No. 11
data_CsAgPtSe3
_chemical_formula_sum 'Cs2 Ag2 Pt2 Se6'
_space_group_name_H-M_alt 'P 1'
_space_group_IT_number 1
_cell_length_a 8.7279
_cell_length_b 4.0122
_cell_length_c 10.3140
_cell_angle_alpha 90.00
_cell_angle_beta 111.47
_cell_angle_gamma 90.00
loop_
_space_group_symop_operation_xyz
'x,y,z'
loop_
_atom_site_label
_atom_site_type_symbol
_atom_site_fract_x
_atom_site_fract_y
_atom_site_fract_z
Cs1 Cs 0.2451 0.2500 0.2946
Cs2 Cs 0.7549 0.7500 0.7054
Ag1 Ag 0.0583 0.2500 0.5970
Ag2 Ag 0.9417 0.7500 0.4030
Pt1 Pt 0.3421 0.7500 0.8612
Pt2 Pt 0.6579 0.2500 0.1388
Se1 Se 0.1587 0.2500 0.8729
Se2 Se 0.2696 0.7500 0.5946
Se3 Se 0.4695 0.7500 0.1218
Se4 Se 0.5305 0.2500 0.8782
Se5 Se 0.7304 0.2500 0.4054
Se6 Se 0.8413 0.7500 0.1271



(5)
# BaCuSiNi (PBE, optimized geometry)
# - Distance to the lowest polymorph of the same formula: 2.0 meV/atom
# - Calculated volume: 20.59 A^3/atom
# - Space-group type: P-3m1, No. 164
data_BaCuSiNi
_chemical_formula_sum 'Ba2 Cu2 Si2 Ni2'
_space_group_name_H-M_alt 'P 1'
_space_group_IT_number 1
_cell_length_a 4.1215
_cell_length_b 4.1215
_cell_length_c 11.1996
_cell_angle_alpha 90.00
_cell_angle_beta 90.00
_cell_angle_gamma 120.00
loop_
_space_group_symop_operation_xyz
'x,y,z'
loop_
_atom_site_label
_atom_site_type_symbol
_atom_site_fract_x
_atom_site_fract_y
_atom_site_fract_z
Ba1 Ba 0.3333 0.6667 0.2564
Ba2 Ba 0.6667 0.3333 0.7436
Cu1 Cu 0.3333 0.6667 0.9675
Cu2 Cu 0.6667 0.3333 0.0325
Si1 Si 0.0000 0.0000 0.0000
Si2 Si 0.0000 0.0000 0.5000
Ni1 Ni 0.3333 0.6667 0.5310
Ni2 Ni 0.6667 0.3333 0.4690



(6)
# FeSn2Te (PBE, optimized geometry)
# - Calculated volume: 22.17 A^3/atom
# - Space-group type: F-43m, No. 216
data_FeSn2Te
_chemical_formula_sum 'Fe1 Sn2 Te1'
_space_group_name_H-M_alt 'P 1'
_space_group_IT_number 1
_cell_length_a 5.0052
_cell_length_b 5.0052
_cell_length_c 5.0052
_cell_angle_alpha 60.00
_cell_angle_beta 60.00
_cell_angle_gamma 60.00
loop_
_space_group_symop_operation_xyz
'x,y,z'
loop_
_atom_site_label
_atom_site_type_symbol
_atom_site_fract_x
_atom_site_fract_y
_atom_site_fract_z
Fe1 Fe 0.0000 0.0000 0.0000
Sn1 Sn 0.2500 0.2500 0.2500
Sn2 Sn 0.5000 0.5000 0.5000
Te1 Te 0.7500 0.7500 0.7500



| no. | total DFT energy (no corrections) (eV per cell) |
| --- | --- |
| 1 | -373.4 |
| 2 | -144.6 |
| 3 | -33.7 |
| 4 | -46.1 |
| 5 | -36.0 |
| 6 | -17.4 |